1.
Computed, not measured: a geometry-optimized NaHPd3 structure at the PBE-GGA level of DFT.

CIF file:
```
data_NaHPd3
_chemical_formula_sum 'Na1 H1 Pd3'
_space_group_name_H-M_alt 'P m -3 m'
_space_group_IT_number 221
_space_group_name_Hall '-P 4 2 3'
_cell_length_a 4.074
_cell_length_b 4.074
_cell_length_c 4.074
_cell_angle_alpha 90.00
_cell_angle_beta 90.00
_cell_angle_gamma 90.00
loop_
_atom_site_label
_atom_site_fract_x
_atom_site_fract_y
_atom_site_fract_z
Na1 0.000 0.000 0.000
H1 0.500 0.500 0.500
Pd1 0.000 0.500 0.500
```

Summary:
N(E_F) = 0.72 states/eV per atom
Excess energy over the best structure of this formula in the dataset = 1.81 kJ/mol of atoms
Calculated volume = 13.523 A^3/atom
Total moment = 0.0 μB per cell
Calculated total energy = -4.17 eV per atom


2.
Computed, not measured: a geometry-optimized NaHPd3 structure at the PBE-GGA level of DFT.

CIF file:
```
data_NaHPd3
_chemical_formula_sum 'Na4 H4 Pd12'
_space_group_name_H-M_alt 'I -4 m 2'
_space_group_IT_number 119
_space_group_name_Hall 'I -4 -2'
_cell_length_a 5.406
_cell_length_b 5.406
_cell_length_c 10.016
_cell_angle_alpha 90.00
_cell_angle_beta 90.00
_cell_angle_gamma 90.00
loop_
_atom_site_label
_atom_site_fract_x
_atom_site_fract_y
_atom_site_fract_z
Na1 0.000 0.000 0.134
H1 0.000 0.000 0.500
H2 0.000 0.500 0.250
Pd1 0.000 0.250 0.379
Pd2 0.000 0.500 0.619
```

Summary:
N(E_F) = 0.58 states/eV per atom
Excess energy over the best structure of this formula in the dataset = 15.14 kJ/mol of atoms
Calculated volume = 14.636 A^3/atom
Total moment = 0.0 μB per cell
Calculated total energy = -4.04 eV per atom


3.
Computed, not measured: a geometry-optimized NaH3Pd3 structure at the PBE-GGA level of DFT.

CIF file:
```
data_NaH3Pd3
_chemical_formula_sum 'Na6 H18 Pd18'
_space_group_name_H-M_alt 'R -3'
_space_group_IT_number 148
_space_group_name_Hall '-R 3'
_cell_length_a 5.0493
_cell_length_b 5.0493
_cell_length_c 22.2660
_cell_angle_alpha 90.00
_cell_angle_beta 90.00
_cell_angle_gamma 120.00
loop_
_atom_site_label
_atom_site_fract_x
_atom_site_fract_y
_atom_site_fract_z
Na1 0.0000 0.0000 0.1667
H1 0.9999 0.3299 0.5822
Pd1 0.0001 0.3340 0.3866
```

Summary:
N(E_F) = 0.49 states/eV per atom
Excess energy over the best structure of this formula in the dataset = 0.00 kJ/mol of atoms
Calculated volume = 11.705 A^3/atom
Total moment = 0.0 μB per cell
Calculated total energy = -4.02 eV per atom


4.
Computed, not measured: a geometry-optimized Na5H3Pd3 structure at the PBE-GGA level of DFT.

CIF file:
```
data_Na5H3Pd3
_chemical_formula_sum 'Na5 H3 Pd3'
_space_group_name_H-M_alt 'P -6 2 m'
_space_group_IT_number 189
_space_group_name_Hall 'P -6 -2'
_cell_length_a 8.3676
_cell_length_b 8.3676
_cell_length_c 3.0922
_cell_angle_alpha 90.00
_cell_angle_beta 90.00
_cell_angle_gamma 120.00
loop_
_atom_site_label
_atom_site_fract_x
_atom_site_fract_y
_atom_site_fract_z
Na1 0.0000 0.7590 0.0000
Na2 0.3333 0.6667 0.0000
H1 0.0000 0.4583 0.0000
Pd1 0.0000 0.3700 0.5000
```

Summary:
N(E_F) = 0.13 states/eV per atom
Calculated volume = 17.046 A^3/atom
Total moment = 0.0 μB per cell
Calculated total energy = -3.14 eV per atom


5.
Computed, not measured: a geometry-optimized NaHPd3 structure at the PBE-GGA level of DFT.

CIF file:
```
data_NaHPd3
_chemical_formula_sum 'Na2 H2 Pd6'
_space_group_name_H-M_alt 'P 63/m m c'
_space_group_IT_number 194
_space_group_name_Hall '-P 6c 2c'
_cell_length_a 4.4844
_cell_length_b 4.4844
_cell_length_c 7.8745
_cell_angle_alpha 90.00
_cell_angle_beta 90.00
_cell_angle_gamma 120.00
loop_
_atom_site_label
_atom_site_fract_x
_atom_site_fract_y
_atom_site_fract_z
Na1 0.3333 0.6667 0.2500
H1 0.0000 0.0000 0.0000
Pd1 0.0000 0.0000 0.2500
Pd2 0.3333 0.6667 0.5765
```

Summary:
N(E_F) = 0.19 states/eV per atom
Excess energy over the best structure of this formula in the dataset = 32.98 kJ/mol of atoms
Calculated volume = 13.714 A^3/atom
Total moment = 0.0 μB per cell
Calculated total energy = -3.85 eV per atom


6.
Computed, not measured: a geometry-optimized NaH2Pd structure at the PBE-GGA level of DFT.

CIF file:
```
data_NaH2Pd
_chemical_formula_sum 'Na4 H8 Pd4'
_space_group_name_H-M_alt 'F m -3 m'
_space_group_IT_number 225
_space_group_name_Hall '-F 4 2 3'
_cell_length_a 5.483
_cell_length_b 5.483
_cell_length_c 5.483
_cell_angle_alpha 90.00
_cell_angle_beta 90.00
_cell_angle_gamma 90.00
loop_
_atom_site_label
_atom_site_fract_x
_atom_site_fract_y
_atom_site_fract_z
Na1 0.000 0.000 0.000
H1 0.250 0.250 0.250
Pd1 0.000 0.000 0.500
```

Summary:
N(E_F) = 0.29 states/eV per atom
Excess energy over the best structure of this formula in the dataset = 58.17 kJ/mol of atoms
Calculated volume = 10.303 A^3/atom
Total moment = 0.0 μB per cell
Calculated total energy = -2.96 eV per atom


Number 3 is which compound?
NaH3Pd3